Version a
LaZr: relaxed, PBE.

It has space group Amm2 (No. 38), with a = 5.544 Å, b = 17.394 Å, c = 5.980 Å, α = 90.00°, β = 90.00° and γ = 90.00°. The distinct sites, in fractional coordinates, are La at (0.000, 0.000, 0.000), La at (0.000, 0.104, 0.544), La at (0.500, 0.110, 0.187), Zr at (0.000, 0.216, 0.994), Zr at (0.500, 0.000, 0.693) and Zr at (0.500, 0.206, 0.713).

Version b
LaZr: relaxed, PBE.

It has space group Fm-3m (No. 225), with a = 6.270 Å, b = 6.270 Å, c = 6.270 Å, α = 90.00°, β = 90.00° and γ = 90.00°. The distinct sites, in fractional coordinates, are La at (0.000, 0.000, 0.000) and Zr at (0.000, 0.000, 0.500).

Ranked by calculated energy, most stable first: version a, version b.

Version a
LaZr: relaxed, PBE.

It has space group P2_1/m (No. 11), with a = 6.803 Å, b = 5.511 Å, c = 9.404 Å, α = 90.00°, β = 97.81° and γ = 90.00°. The distinct sites, in fractional coordinates, are La at (0.138, 0.250, 0.100), La at (0.284, 0.250, 0.723), La at (0.355, 0.750, 0.946), Zr at (0.007, 0.750, 0.587), Zr at (0.221, 0.750, 0.322) and Zr at (0.470, 0.250, 0.406).

Version b
LaZr: relaxed, PBE.

It has space group P-6m2 (No. 187), with a = 6.9207 Å, b = 6.9207 Å, c = 5.5520 Å, α = 90.00°, β = 90.00° and γ = 120.00°. The distinct sites, in fractional coordinates, are La at (0.0000, 0.0000, 0.0000), La at (0.3485, 0.1743, 0.5000), Zr at (0.0302, 0.5151, 0.0000) and Zr at (0.3333, 0.6667, 0.5000).

Version c
LaZr: relaxed, PBE.

It has space group Pmm2 (No. 25), with a = 5.523 Å, b = 7.007 Å, c = 6.009 Å, α = 90.00°, β = 90.00° and γ = 90.00°. The distinct sites, in fractional coordinates, are La at (0.000, 0.000, 0.000), La at (0.000, 0.279, 0.545), La at (0.500, 0.000, 0.375), Zr at (0.000, 0.500, 0.045), Zr at (0.500, 0.287, 0.870) and Zr at (0.500, 0.500, 0.325).

Ranked by calculated energy, most stable first: version a, version c, version b.

Version a
LaZr: relaxed, PBE.

It has space group P2_1/m (No. 11), with a = 6.831 Å, b = 5.535 Å, c = 9.375 Å, α = 90.00°, β = 100.54° and γ = 90.00°. The distinct sites, in fractional coordinates, are La at (0.018, 0.250, 0.113), La at (0.312, 0.750, 0.251), La at (0.457, 0.750, 0.874), Zr at (0.127, 0.750, 0.555), Zr at (0.173, 0.250, 0.739) and Zr at (0.352, 0.250, 0.462).

Version b
LaZr: relaxed, PBE.

It has space group Pmmn (No. 59, origin choice 2), with a = 3.378 Å, b = 5.478 Å, c = 12.586 Å, α = 90.00°, β = 90.00° and γ = 90.00°. The distinct sites, in fractional coordinates, are La at (0.250, 0.250, 0.066), La at (0.250, 0.750, 0.226), Zr at (0.250, 0.250, 0.534) and Zr at (0.250, 0.750, 0.672).

Version c
LaZr: relaxed, PBE.

It has space group P2_1/m (No. 11), with a = 6.716 Å, b = 5.585 Å, c = 9.173 Å, α = 90.00°, β = 100.54° and γ = 90.00°. The distinct sites, in fractional coordinates, are La at (0.026, 0.250, 0.103), La at (0.199, 0.250, 0.747), La at (0.329, 0.750, 0.246), Zr at (0.154, 0.750, 0.568), Zr at (0.365, 0.250, 0.422) and Zr at (0.475, 0.750, 0.900).

Version d
LaZr: relaxed, PBE.

It has space group Pmmn (No. 59, origin choice 2), with a = 5.537 Å, b = 6.863 Å, c = 12.218 Å, α = 90.00°, β = 90.00° and γ = 90.00°. The distinct sites, in fractional coordinates, are La at (0.250, 0.010, 0.089), La at (0.250, 0.250, 0.342), La at (0.250, 0.250, 0.808), Zr at (0.250, 0.008, 0.578), Zr at (0.250, 0.750, 0.369) and Zr at (0.250, 0.750, 0.813).

Ranked by calculated energy, most stable first: version b, version a, version d, version c.

Version a
LaZr: relaxed, PBE.

It has space group Amm2 (No. 38), with a = 5.456 Å, b = 18.816 Å, c = 5.785 Å, α = 90.00°, β = 90.00° and γ = 90.00°. The distinct sites, in fractional coordinates, are La at (0.000, 0.000, 0.000), La at (0.000, 0.188, 0.053), La at (0.500, 0.182, 0.636), Zr at (0.000, 0.081, 0.506), Zr at (0.500, 0.000, 0.663) and Zr at (0.500, 0.082, 0.188).

Version b
LaZr: relaxed, PBE.

It has space group Pmc2_1 (No. 26), with a = 5.534 Å, b = 10.572 Å, c = 5.922 Å, α = 90.00°, β = 90.00° and γ = 90.00°. The distinct sites, in fractional coordinates, are La at (0.000, 0.075, 0.000), La at (0.000, 0.257, 0.544), La at (0.500, 0.262, 0.167), Zr at (0.000, 0.445, 0.985), Zr at (0.500, 0.075, 0.680) and Zr at (0.500, 0.432, 0.701).

Version c
LaZr: relaxed, PBE.

It has space group P6_3/mmc (No. 194), with a = 4.5929 Å, b = 4.5929 Å, c = 6.8513 Å, α = 90.00°, β = 90.00° and γ = 120.00°. The distinct sites, in fractional coordinates, are La at (0.0000, 0.0000, 0.0000) and Zr at (0.3333, 0.6667, 0.2500).

Version d
LaZr: relaxed, PBE.

It has space group Pnma (No. 62), with a = 5.985 Å, b = 5.547 Å, c = 6.877 Å, α = 90.00°, β = 90.00° and γ = 90.00°. The distinct sites, in fractional coordinates, are La at (0.077, 0.250, 0.130) and Zr at (0.041, 0.250, 0.621).

Ranked by calculated energy, most stable first: version a, version b, version d, version c.

Version a
LaZr: relaxed, PBE.

It has space group Pmmn (No. 59, origin choice 2), with a = 5.485 Å, b = 13.940 Å, c = 6.078 Å, α = 90.00°, β = 90.00° and γ = 90.00°. The distinct sites, in fractional coordinates, are La at (0.250, 0.005, 0.185), La at (0.250, 0.134, 0.653), Zr at (0.250, 0.250, 0.155), Zr at (0.250, 0.646, 0.671) and Zr at (0.250, 0.750, 0.122).

Version b
LaZr: relaxed, PBE.

It has space group Pbcm (No. 57), with a = 8.016 Å, b = 5.609 Å, c = 5.365 Å, α = 90.00°, β = 90.00° and γ = 90.00°. The distinct sites, in fractional coordinates, are La at (0.161, 0.028, 0.250) and Zr at (0.416, 0.583, 0.250).

Ranked by calculated energy, most stable first: version b, version a.

Version a
LaZr: relaxed, PBE.

It has space group P6_3/mmc (No. 194), with a = 5.4883 Å, b = 5.4883 Å, c = 5.2020 Å, α = 90.00°, β = 90.00° and γ = 120.00°. The distinct sites, in fractional coordinates, are La at (0.3333, 0.6667, 0.2500) and Zr at (0.0000, 0.0000, 0.0000).

Version b
LaZr: relaxed, PBE.

It has space group P6_3mc (No. 186), with a = 5.5740 Å, b = 5.5740 Å, c = 5.9475 Å, α = 90.00°, β = 90.00° and γ = 120.00°. The distinct sites, in fractional coordinates, are La at (0.3333, 0.6667, 0.0000) and Zr at (0.3333, 0.6667, 0.4963).

Version c
LaZr: relaxed, PBE.

It has space group Pmma (No. 51), with a = 5.482 Å, b = 3.403 Å, c = 6.234 Å, α = 90.00°, β = 90.00° and γ = 90.00°. The distinct sites, in fractional coordinates, are La at (0.250, 0.000, 0.157) and Zr at (0.250, 0.500, 0.619).

Ranked by calculated energy, most stable first: version c, version a, version b.